# PBE CdGe2PbO6, optimized geometry
data_CdGe2PbO6
_chemical_formula_sum 'Cd4 Ge8 Pb4 O24'
_space_group_name_H-M_alt 'C 1 2/c 1'
_space_group_IT_number 15
_space_group_name_Hall '-C 2yc'
_cell_length_a 10.614
_cell_length_b 10.601
_cell_length_c 5.419
_cell_angle_alpha 90.00
_cell_angle_beta 99.81
_cell_angle_gamma 90.00
loop_
_atom_site_label
_atom_site_type_symbol
_atom_site_fract_x
_atom_site_fract_y
_atom_site_fract_z
Cd1 Cd 0.000 0.199 0.250
Ge1 Ge 0.205 0.086 0.764
Pb1 Pb 0.000 0.392 0.750
O1 O 0.115 0.212 0.622
O2 O 0.129 0.393 0.186
O3 O 0.156 0.052 0.067
# electronic total energy: -5.787 eV per atom

# PBE PrNdGaHg, optimized geometry
data_PrNdGaHg
_chemical_formula_sum 'Pr1 Nd1 Ga1 Hg1'
_space_group_name_H-M_alt 'P 4 m m'
_space_group_IT_number 99
_space_group_name_Hall 'P 4 -2'
_cell_length_a 3.702
_cell_length_b 3.702
_cell_length_c 7.881
_cell_angle_alpha 90.00
_cell_angle_beta 90.00
_cell_angle_gamma 90.00
loop_
_atom_site_label
_atom_site_type_symbol
_atom_site_fract_x
_atom_site_fract_y
_atom_site_fract_z
Pr1 Pr 0.000 0.000 0.000
Nd1 Nd 0.000 0.000 0.529
Ga1 Ga 0.500 0.500 0.762
Hg1 Hg 0.500 0.500 0.269
# electronic total energy: -3.732 eV per atom

# PBE Ba2MnPb, optimized geometry
data_Ba2MnPb
_chemical_formula_sum 'Ba4 Mn2 Pb2'
_space_group_name_H-M_alt 'I m m 2'
_space_group_IT_number 44
_space_group_name_Hall 'I 2 -2'
_cell_length_a 4.467
_cell_length_b 5.661
_cell_length_c 11.675
_cell_angle_alpha 90.00
_cell_angle_beta 90.00
_cell_angle_gamma 90.00
loop_
_atom_site_label
_atom_site_type_symbol
_atom_site_fract_x
_atom_site_fract_y
_atom_site_fract_z
Ba1 Ba 0.000 0.000 0.000
Ba2 Ba 0.000 0.500 0.204
Mn1 Mn 0.000 0.500 0.780
Pb1 Pb 0.000 0.000 0.429
# electronic total energy: -4.150 eV per atom